This record from Alexandria describes DyHo10Tm4 after structural relaxation. The functional is GGA-PBE.

Its uncorrected energy is -57.46 eV/cell. As for the calculated density: 7.56 Mg/m³. Its space-group type is I4/m (87). The calculation puts the total magnetization at 0.000 μB per formula unit. The value obtained for the formation energy is 0.72 eV/atom.

a b c (Å): 9.2974 9.2974 9.2974
angles (deg): 99.59 99.59 131.83
Closest atoms and distances in Å follow each position.
Positions (direct):
Dy: 0.0000 0.0000 0.0000  8 Ho 3.29
Ho: 0.0505 0.3509 0.8996  3 Tm 3.28-3.29, 1 Dy 3.29
Ho: 0.1509 0.0505 0.6996  3 Tm 3.28-3.29, 1 Dy 3.29
Ho: 0.2500 0.7500 0.5000  4 Tm 3.28
Ho: 0.3509 0.4512 0.3004  3 Tm 3.28-3.29, 1 Dy 3.29
Ho: 0.4512 0.1509 0.1004  3 Tm 3.28-3.29, 1 Dy 3.29
Ho: 0.5488 0.8491 0.8996  3 Tm 3.28-3.29, 1 Dy 3.29
Ho: 0.6491 0.5488 0.6996  3 Tm 3.28-3.29, 1 Dy 3.29
Ho: 0.7500 0.2500 0.5000  4 Tm 3.28
Ho: 0.8491 0.9495 0.3004  3 Tm 3.28-3.29, 1 Dy 3.29
Ho: 0.9495 0.6491 0.1004  3 Tm 3.28-3.29, 1 Dy 3.29
Tm: 0.1997 0.3998 0.5995  8 Ho 3.28-3.29
Tm: 0.3998 0.8003 0.2002  8 Ho 3.28-3.29
Tm: 0.6002 0.1997 0.7998  8 Ho 3.28-3.29
Tm: 0.8003 0.6002 0.4005  8 Ho 3.28-3.29